First-principles (PBE) data for a relaxed LiTbSO crystal, as listed in Alexandria.

Lattice parameters (Å, degrees): 3.855 3.855 8.615 90.00 90.00 90.00
Space group P4/nmm (No. 129, origin choice 2)
Inequivalent atoms, fractional coordinates:
Li (0.250, 0.750, 0.000)
Tb (0.250, 0.250, 0.367)
S (0.250, 0.250, 0.828)
O (0.250, 0.750, 0.500)

Mass density = 5.6 g/cm³
D(E_F) = 0.000 states/eV per cell
ΔE_f (raw) = -236.19 kJ/mol of atoms
Magnetization = 0.0 μB per formula unit


First-principles (PBE) data for a relaxed CdP2Au crystal, as listed in Alexandria.

Lattice parameters (Å, degrees): 4.006 4.486 9.629 90.00 90.00 90.00
Space group Immm (No. 71)
Inequivalent atoms, fractional coordinates:
Cd (0.000, 0.000, 0.000)
P (0.000, 0.500, 0.157)
Au (0.000, 0.000, 0.500)

Mass density = 7.1 g/cm³
D(E_F) = 3.233 states/eV per cell
Magnetization = 0.0 μB per formula unit
ΔE_f = 331 meV per atom


First-principles (PBE) data for a relaxed PmBi2AuO4 crystal, as listed in Alexandria.

Lattice parameters (Å, degrees): 3.947 3.947 9.188 90.00 90.00 90.00
Space group P4/mmm (No. 123)
Inequivalent atoms, fractional coordinates:
Pm (0.000, 0.000, 0.000)
Bi (0.500, 0.500, 0.280)
Au (0.000, 0.000, 0.500)
O (0.000, 0.500, 0.158)

Mass density = 9.6 g/cm³
D(E_F) = 0.000 states/eV per cell
ΔE_f (raw) = -161.76 kJ/mol of atoms
Magnetization = 0.0 μB per formula unit


First-principles (PBE) data for a relaxed TcPOs2 crystal, as listed in Alexandria.

Lattice parameters (Å, degrees): 2.855 4.416 4.467 90.00 90.00 90.00
Space group Pmmm (No. 47)
Inequivalent atoms, fractional coordinates:
Tc (0.000, 0.000, 0.000)
P (0.500, 0.000, 0.500)
Os (0.000, 0.500, 0.500)
Os (0.500, 0.500, 0.000)

Mass density = 15.0 g/cm³
D(E_F) = 3.123 states/eV per cell
Magnetization = 0.0 μB per formula unit
ΔE_f = 337 meV per atom